An optimized crystal structure of BeZnAsBr2, computed with GGA-PBE.

As for the excess energy over the best structure of this formula in the dataset: 0.0000 eV/atom. The total DFT energy (no corrections) is -2.357 eV per atom. As for the raw formation energy: 0.242 eV/atom. The density of states at the Fermi level is 2.947 states/eV/cell.

The space group is P4/mmm (No. 123) and the conventional cell measures 4.756, 4.756 and 4.870 Å, with angles of 90.00, 90.00 and 90.00 degrees. The distinct sites, in fractional coordinates, are Be at (0.000, 0.000, 0.000), Zn at (0.500, 0.500, 0.500), As at (0.000, 0.000, 0.500) and Br at (0.000, 0.500, 0.000).

---

An optimized crystal structure of MoP2Au, computed with GGA-PBE.

As for the excess energy over the best structure of this formula in the dataset: 0.2592 eV/atom. The total DFT energy (no corrections) is -6.006 eV per atom. The density of states at the Fermi level is 2.050 states/eV/cell. Its formation energy is 0.91 eV/f.u.

The space group is P4/mmm (No. 123) and the conventional cell measures 4.310, 4.310 and 3.219 Å, with angles of 90.00, 90.00 and 90.00 degrees. The distinct sites, in fractional coordinates, are Mo at (0.000, 0.000, 0.000), P at (0.000, 0.500, 0.500) and Au at (0.500, 0.500, 0.000).

---

An optimized crystal structure of NiPb2Se2, computed with GGA-PBE.

The total DFT energy (no corrections) is -4.084 eV per atom. As for the raw formation energy: -0.051 eV/atom. The density of states at the Fermi level is 4.981 states/eV/cell.

The space group is P4/mbm (No. 127) and the conventional cell measures 6.603, 6.603 and 5.534 Å, with angles of 90.00, 90.00 and 90.00 degrees. The distinct sites, in fractional coordinates, are Ni at (0.000, 0.000, 0.000), Pb at (0.188, 0.312, 0.500) and Se at (0.177, 0.677, 0.000).

---

- Among the records above, which one has the highest total DFT energy (no corrections)?
  BeZnAsBr2

---

What did the first record say?
An optimized crystal structure of BeZnAsBr2, computed with GGA-PBE.

As for the excess energy over the best structure of this formula in the dataset: 0.0000 eV/atom. The total DFT energy (no corrections) is -2.357 eV per atom. As for the raw formation energy: 0.242 eV/atom. The density of states at the Fermi level is 2.947 states/eV/cell.

The space group is P4/mmm (No. 123) and the conventional cell measures 4.756, 4.756 and 4.870 Å, with angles of 90.00, 90.00 and 90.00 degrees. The distinct sites, in fractional coordinates, are Be at (0.000, 0.000, 0.000), Zn at (0.500, 0.500, 0.500), As at (0.000, 0.000, 0.500) and Br at (0.000, 0.500, 0.000).

---

- What is the total DFT energy (no corrections) in the first record?
  -2.357 eV per atom

---

- What is the total DFT energy (no corrections) in the third record?
  -4.084 eV per atom